Compound: LiUPaSe4
Source: Alexandria via LeMat-Bulk
Functional: PBE
Structure: optimized geometry

Lattice parameters (Å, degrees): 8.2999 8.2999 8.2999 120.36 119.65 90.00
Atoms (fractional coordinates):
Li 0.3779 0.1279 0.2500
Li 0.6221 0.8721 0.7500
U 0.0000 0.0000 0.5000
U 0.0000 0.5000 0.0000
Pa 0.0000 0.5000 0.5000
Pa 0.5000 0.5000 0.0000
Se 0.2355 0.7436 0.4919
Se 0.2468 0.2569 0.5100
Se 0.2468 0.7368 0.9900
Se 0.2483 0.2564 0.9919
Se 0.7517 0.7436 0.0081
Se 0.7532 0.2632 0.0100
Se 0.7532 0.7431 0.4900
Se 0.7645 0.2564 0.5081

- E_form (uncorrected) (eV per atom) = -1.242
- calculated total energy (eV per atom) = -6.476